Record 1
# LaCd2PdAu2

Crystalline LaCd2PdAu2 at its relaxed geometry (PBE-GGA, Alexandria via LeMat-Bulk).

Properties
Calculated formation energy   -0.05 eV per atom
Uncorrected energy   -18.80 eV per cell
Total magnetic moment   0.0000 μB per atom
N(E_F)   3.36 states/eV/f.u.

Lattice parameters (Å, degrees): 5.376 5.376 6.792 113.31 113.31 90.00
Fractional positions:
Cd: 0.750 0.250 0.500
Cd: 0.250 0.750 0.500
Au: 0.235 0.235 0.471
Au: 0.765 0.765 0.529
La: 0.500 0.500 0.000
Pd: 0.000 0.000 0.000

***

Record 2
# La2CdPd12Au3

Crystalline La2CdPd12Au3 at its relaxed geometry (PBE-GGA, Alexandria via LeMat-Bulk).

Properties
Calculated formation energy   -0.35 eV per atom
Uncorrected energy   -89.25 eV per cell
Total magnetic moment   0.0000 μB per atom
N(E_F)   7.17 states/eV/f.u.

Lattice parameters (Å, degrees): 7.024 7.024 7.024 81.96 81.96 81.96
Fractional positions:
Pd: 0.594 0.594 0.124
Pd: 0.799 0.291 0.799
Pd: 0.291 0.799 0.799
Pd: 0.876 0.406 0.406
Pd: 0.799 0.799 0.291
Pd: 0.201 0.709 0.201
Pd: 0.201 0.201 0.709
Pd: 0.406 0.876 0.406
Pd: 0.709 0.201 0.201
Pd: 0.406 0.406 0.876
Pd: 0.124 0.594 0.594
Pd: 0.594 0.124 0.594
Au: 0.500 0.000 0.000
Au: 0.000 0.500 0.000
Au: 0.000 0.000 0.500
La: 0.697 0.697 0.697
La: 0.303 0.303 0.303
Cd: 0.000 0.000 0.000

***

Repeat the first record exactly.
# LaCd2PdAu2

Crystalline LaCd2PdAu2 at its relaxed geometry (PBE-GGA, Alexandria via LeMat-Bulk).

Properties
Calculated formation energy   -0.05 eV per atom
Uncorrected energy   -18.80 eV per cell
Total magnetic moment   0.0000 μB per atom
N(E_F)   3.36 states/eV/f.u.

Lattice parameters (Å, degrees): 5.376 5.376 6.792 113.31 113.31 90.00
Fractional positions:
Cd: 0.750 0.250 0.500
Cd: 0.250 0.750 0.500
Au: 0.235 0.235 0.471
Au: 0.765 0.765 0.529
La: 0.500 0.500 0.000
Pd: 0.000 0.000 0.000